CdGaFeMo: optimized geometry, PBE.

a = 4.465 Å, b = 4.465 Å, c = 4.465 Å
α = 60.00°, β = 60.00°, γ = 60.00°
Atoms (fractional coordinates):
Cd  0.500  0.500  0.500
Fe  0.750  0.750  0.750
Ga  0.000  0.000  0.000
Mo  0.250  0.250  0.250

Its total energy is -21.35 eV per cell. As for the density: 8.81 g/cm³. Its total magnetic moment is 3.50 μB per formula unit. The calculation puts the excess energy over the best structure of this formula in the dataset at 0.00 kcal/mol of atoms.